Record 1
Material: SrAc3Nd2Te6
Method: DFT, PBE
State: optimized geometry

* spin magnetization: 0.00 μB/f.u.
* V: 35.59 Å³ per atom
* uncorrected formation energy: -1499 meV per atom

Cell and atoms, written as CIF:
```
data_SrAc3Nd2Te6
_chemical_formula_sum 'Sr2 Ac6 Nd4 Te12'
_cell_length_a 20.275
_cell_length_b 4.637
_cell_length_c 9.341
_cell_angle_alpha 90.00
_cell_angle_beta 103.41
_cell_angle_gamma 90.00
_space_group_name_H-M_alt 'C 1 2/m 1'
_space_group_IT_number 12
loop_
_space_group_symop_operation_xyz
'x,y,z'
'-x,-y,-z'
'-x,y,-z'
'x,-y,z'
'x+1/2,y+1/2,z'
'-x+1/2,-y+1/2,-z'
'-x+1/2,y+1/2,-z'
'x+1/2,-y+1/2,z'
loop_
_atom_site_label
_atom_site_fract_x
_atom_site_fract_y
_atom_site_fract_z
Sr1 0.000 0.000 0.000
Ac1 0.000 0.000 0.500
Ac2 0.166 0.500 0.829
Nd1 0.171 0.500 0.343
Te1 0.005 0.500 0.248
Te2 0.166 0.000 0.093
Te3 0.168 0.000 0.576
```

Record 2
Material: SrAc2NdTe5
Method: DFT, PBE
State: optimized geometry

* spin magnetization: 0.28 μB/f.u.
* V: 43.74 Å³ per atom
* uncorrected formation energy: -1087 meV per atom

Cell and atoms, written as CIF:
```
data_SrAc2NdTe5
_chemical_formula_sum 'Sr1 Ac2 Nd1 Te5'
_cell_length_a 5.712
_cell_length_b 5.712
_cell_length_c 12.069
_cell_angle_alpha 90.00
_cell_angle_beta 90.00
_cell_angle_gamma 90.00
_space_group_name_H-M_alt 'P 4/m m m'
_space_group_IT_number 123
_space_group_name_Hall '-P 4 2'
loop_
_atom_site_label
_atom_site_fract_x
_atom_site_fract_y
_atom_site_fract_z
Sr1 0.000 0.000 0.000
Ac1 0.500 0.500 0.313
Nd1 0.000 0.000 0.500
Te1 0.000 0.000 0.250
Te2 0.000 0.500 0.500
Te3 0.500 0.500 0.000
```

Record 3
Material: SrAcNdY
Method: DFT, PBE
State: optimized geometry

* spin magnetization: 0.00 μB/f.u.
* energy of formation: 198 meV/atom
* V: 40.14 Å³ per atom

Cell and atoms, written as CIF:
```
data_SrAcNdY
_chemical_formula_sum 'Sr4 Ac4 Nd4 Y4'
_cell_length_a 8.627
_cell_length_b 8.627
_cell_length_c 8.627
_cell_angle_alpha 90.00
_cell_angle_beta 90.00
_cell_angle_gamma 90.00
_space_group_name_H-M_alt 'F -4 3 m'
_space_group_IT_number 216
_space_group_name_Hall 'F -4 2 3'
loop_
_atom_site_label
_atom_site_fract_x
_atom_site_fract_y
_atom_site_fract_z
Sr1 0.000 0.000 0.000
Ac1 0.000 0.000 0.500
Nd1 0.250 0.250 0.750
Y1 0.250 0.250 0.250
```

Record 4
Material: Ac2NdTa
Method: DFT, PBE
State: optimized geometry

* spin magnetization: 0.00 μB/f.u.
* energy of formation: 886 meV/atom
* V: 33.52 Å³ per atom

Cell and atoms, written as CIF:
```
data_Ac2NdTa
_chemical_formula_sum 'Ac6 Nd3 Ta3'
_cell_length_a 3.4981
_cell_length_b 3.4981
_cell_length_c 37.9524
_cell_angle_alpha 90.00
_cell_angle_beta 90.00
_cell_angle_gamma 120.00
_space_group_name_H-M_alt 'R -3 m'
_space_group_IT_number 166
_space_group_name_Hall '-R 3 2"'
loop_
_atom_site_label
_atom_site_fract_x
_atom_site_fract_y
_atom_site_fract_z
Ac1 0.0000 0.0000 0.0799
Nd1 0.0000 0.0000 0.5000
Ta1 0.0000 0.0000 0.0000
```

Record 5
Material: Ac2Tb5Nd6
Method: DFT, PBE
State: optimized geometry

* spin magnetization: 0.00 μB/f.u.
* energy of formation: 109 meV/atom
* V: 35.97 Å³ per atom

Cell and atoms, written as CIF:
```
data_Ac2Tb5Nd6
_chemical_formula_sum 'Ac4 Tb10 Nd12'
_cell_length_a 12.124
_cell_length_b 20.755
_cell_length_c 3.717
_cell_angle_alpha 90.00
_cell_angle_beta 90.00
_cell_angle_gamma 90.00
_space_group_name_H-M_alt 'P b a m'
_space_group_IT_number 55
loop_
_space_group_symop_operation_xyz
'x,y,z'
'-x,-y,-z'
'-x,-y,z'
'x,y,-z'
'x+1/2,-y+1/2,-z'
'-x+1/2,y+1/2,z'
'-x+1/2,y+1/2,-z'
'x+1/2,-y+1/2,z'
loop_
_atom_site_label
_atom_site_fract_x
_atom_site_fract_y
_atom_site_fract_z
Ac1 0.163 0.220 0.000
Tb1 0.000 0.500 0.500
Tb2 0.097 0.781 0.500
Tb3 0.201 0.054 0.500
Nd1 0.058 0.924 0.000
Nd2 0.076 0.637 0.000
Nd3 0.181 0.380 0.500
```

Record 6
Material: Ac2Tb8Nd3
Method: DFT, PBE
State: optimized geometry

* spin magnetization: 0.00 μB/f.u.
* energy of formation: 268 meV/atom
* V: 36.45 Å³ per atom

Cell and atoms, written as CIF:
```
data_Ac2Tb8Nd3
_chemical_formula_sum 'Ac6 Tb24 Nd9'
_cell_length_a 6.6649
_cell_length_b 6.6649
_cell_length_c 36.9512
_cell_angle_alpha 90.00
_cell_angle_beta 90.00
_cell_angle_gamma 120.00
_space_group_name_H-M_alt 'R -3 m'
_space_group_IT_number 166
_space_group_name_Hall '-R 3 2"'
loop_
_atom_site_label
_atom_site_fract_x
_atom_site_fract_y
_atom_site_fract_z
Ac1 0.0000 0.0000 0.1385
Tb1 0.0000 0.0000 0.2286
Tb2 0.0005 0.5003 0.7210
Nd1 0.0000 0.0000 0.3126
Nd2 0.0000 0.0000 0.5000
```

Record 7
Material: AcTb7Nd2
Method: DFT, PBE
State: optimized geometry

* spin magnetization: 0.00 μB/f.u.
* energy above the most stable polymorph in this dataset: 0.0 meV/atom
* energy of formation: 419 meV/atom
* V: 36.35 Å³ per atom

Cell and atoms, written as CIF:
```
data_AcTb7Nd2
_chemical_formula_sum 'Ac2 Tb14 Nd4'
_cell_length_a 11.877
_cell_length_b 17.003
_cell_length_c 3.600
_cell_angle_alpha 90.00
_cell_angle_beta 90.00
_cell_angle_gamma 90.00
_space_group_name_H-M_alt 'C m m m'
_space_group_IT_number 65
_space_group_name_Hall '-C 2 2'
loop_
_atom_site_label
_atom_site_fract_x
_atom_site_fract_y
_atom_site_fract_z
Ac1 0.000 0.000 0.000
Tb1 0.000 0.331 0.000
Tb2 0.000 0.500 0.500
Tb3 0.240 0.366 0.500
Nd1 0.000 0.180 0.500
```

Record 8
Material: AcTb2Nd2
Method: DFT, PBE
State: optimized geometry

* spin magnetization: 0.00 μB/f.u.
* energy above the most stable polymorph in this dataset: 8.5 meV/atom
* energy of formation: 38 meV/atom
* V: 35.76 Å³ per atom

Cell and atoms, written as CIF:
```
data_AcTb2Nd2
_chemical_formula_sum 'Ac2 Tb4 Nd4'
_cell_length_a 3.716
_cell_length_b 3.716
_cell_length_c 25.903
_cell_angle_alpha 90.00
_cell_angle_beta 90.00
_cell_angle_gamma 90.00
_space_group_name_H-M_alt 'I 4/m m m'
_space_group_IT_number 139
_space_group_name_Hall '-I 4 2'
loop_
_atom_site_label
_atom_site_fract_x
_atom_site_fract_y
_atom_site_fract_z
Ac1 0.000 0.000 0.000
Tb1 0.000 0.000 0.203
Nd1 0.000 0.000 0.393
```

Record 9
Material: Ac2Tb5Nd4
Method: DFT, PBE
State: optimized geometry

* spin magnetization: 0.00 μB/f.u.
* energy above the most stable polymorph in this dataset: 18.3 meV/atom
* energy of formation: 163 meV/atom
* V: 36.00 Å³ per atom

Cell and atoms, written as CIF:
```
data_Ac2Tb5Nd4
_chemical_formula_sum 'Ac4 Tb10 Nd8'
_cell_length_a 14.109
_cell_length_b 6.903
_cell_length_c 8.373
_cell_angle_alpha 90.00
_cell_angle_beta 103.78
_cell_angle_gamma 90.00
_space_group_name_H-M_alt 'C 1 2/m 1'
_space_group_IT_number 12
loop_
_space_group_symop_operation_xyz
'x,y,z'
'-x,-y,-z'
'-x,y,-z'
'x,-y,z'
'x+1/2,y+1/2,z'
'-x+1/2,-y+1/2,-z'
'-x+1/2,y+1/2,-z'
'x+1/2,-y+1/2,z'
loop_
_atom_site_label
_atom_site_fract_x
_atom_site_fract_y
_atom_site_fract_z
Ac1 0.170 0.000 0.229
Tb1 0.000 0.000 0.500
Tb2 0.065 0.265 0.849
Nd1 0.112 0.500 0.480
Nd2 0.235 0.500 0.182
```

Record 10
Material: AcTb2Nd8
Method: DFT, PBE
State: optimized geometry

* spin magnetization: 0.00 μB/f.u.
* energy above the most stable polymorph in this dataset: 0.0 meV/atom
* energy of formation: 118 meV/atom
* V: 35.98 Å³ per atom

Cell and atoms, written as CIF:
```
data_AcTb2Nd8
_chemical_formula_sum 'Ac2 Tb4 Nd16'
_cell_length_a 5.666
_cell_length_b 8.582
_cell_length_c 16.277
_cell_angle_alpha 90.00
_cell_angle_beta 90.00
_cell_angle_gamma 90.00
_space_group_name_H-M_alt 'I m m m'
_space_group_IT_number 71
_space_group_name_Hall '-I 2 2'
loop_
_atom_site_label
_atom_site_fract_x
_atom_site_fract_y
_atom_site_fract_z
Ac1 0.000 0.000 0.000
Tb1 0.000 0.000 0.300
Nd1 0.000 0.202 0.500
Nd2 0.000 0.298 0.145
Nd3 0.000 0.500 0.340
```

Record 11
Material: AcTb5Nd4
Method: DFT, PBE
State: optimized geometry

* spin magnetization: 0.00 μB/f.u.
* energy of formation: 28 meV/atom
* V: 34.48 Å³ per atom

Cell and atoms, written as CIF:
```
data_AcTb5Nd4
_chemical_formula_sum 'Ac1 Tb5 Nd4'
_cell_length_a 3.679
_cell_length_b 3.679
_cell_length_c 25.473
_cell_angle_alpha 90.00
_cell_angle_beta 90.00
_cell_angle_gamma 90.00
_space_group_name_H-M_alt 'P 4/m m m'
_space_group_IT_number 123
_space_group_name_Hall '-P 4 2'
loop_
_atom_site_label
_atom_site_fract_x
_atom_site_fract_y
_atom_site_fract_z
Ac1 0.000 0.000 0.000
Tb1 0.500 0.500 0.106
Tb2 0.500 0.500 0.303
Tb3 0.500 0.500 0.500
Nd1 0.000 0.000 0.204
Nd2 0.000 0.000 0.401
```

Record 12
Material: AcTb4Nd5
Method: DFT, PBE
State: optimized geometry

* spin magnetization: 0.00 μB/f.u.
* energy above the most stable polymorph in this dataset: 0.0 meV/atom
* energy of formation: 108 meV/atom
* V: 34.99 Å³ per atom

Cell and atoms, written as CIF:
```
data_AcTb4Nd5
_chemical_formula_sum 'Ac1 Tb4 Nd5'
_cell_length_a 4.247
_cell_length_b 4.247
_cell_length_c 19.395
_cell_angle_alpha 90.00
_cell_angle_beta 90.00
_cell_angle_gamma 90.00
_space_group_name_H-M_alt 'P 4/m m m'
_space_group_IT_number 123
_space_group_name_Hall '-P 4 2'
loop_
_atom_site_label
_atom_site_fract_x
_atom_site_fract_y
_atom_site_fract_z
Ac1 0.000 0.000 0.000
Tb1 0.000 0.000 0.211
Tb2 0.000 0.000 0.404
Nd1 0.500 0.500 0.120
Nd2 0.500 0.500 0.307
Nd3 0.500 0.500 0.500
```

Copy entry 11 word for word.
Material: AcTb5Nd4
Method: DFT, PBE
State: optimized geometry

* spin magnetization: 0.00 μB/f.u.
* energy of formation: 28 meV/atom
* V: 34.48 Å³ per atom

Cell and atoms, written as CIF:
```
data_AcTb5Nd4
_chemical_formula_sum 'Ac1 Tb5 Nd4'
_cell_length_a 3.679
_cell_length_b 3.679
_cell_length_c 25.473
_cell_angle_alpha 90.00
_cell_angle_beta 90.00
_cell_angle_gamma 90.00
_space_group_name_H-M_alt 'P 4/m m m'
_space_group_IT_number 123
_space_group_name_Hall '-P 4 2'
loop_
_atom_site_label
_atom_site_fract_x
_atom_site_fract_y
_atom_site_fract_z
Ac1 0.000 0.000 0.000
Tb1 0.500 0.500 0.106
Tb2 0.500 0.500 0.303
Tb3 0.500 0.500 0.500
Nd1 0.000 0.000 0.204
Nd2 0.000 0.000 0.401
```

Which formula does entry 12 have? AcTb4Nd5

V of number 11 (AcTb5Nd4)? 34.48 Å³ per atom

The lowest V belongs to which entry? Ac2NdTa